[1]
Entry from Alexandria: a relaxed structure of LaTb2Sm (PBE-GGA).

Unit cell a=5.0926 b=5.1459 c=5.1459 alpha=90.00 beta=90.00 gamma=90.00
Fractional coordinates of all 4 atoms:
Tb: 0.0000 0.0000 0.5000
Tb: 0.0000 0.5000 0.0000
Sm: 0.5000 0.5000 0.5000
La: 0.5000 0.0000 0.0000

Properties
The calculation puts the energy above the most stable polymorph in this dataset at 0.05 eV per formula unit. The calculation puts the energy of formation from the pure elements at 0.0245 eV/atom. The space-group type is P4/mmm.



[2]
Entry from Alexandria: a relaxed structure of TaZn3Pd12 (PBE-GGA).

Unit cell a=3.9386 b=3.9386 c=15.6384 alpha=90.00 beta=90.00 gamma=90.00
Fractional coordinates of all 16 atoms:
Ta: 0.0000 0.0000 0.0000
Zn: 0.0000 0.0000 0.2548
Zn: 0.0000 0.0000 0.5000
Zn: 0.0000 0.0000 0.7452
Pd: 0.5000 0.5000 0.0000
Pd: 0.5000 0.5000 0.2499
Pd: 0.5000 0.5000 0.5000
Pd: 0.5000 0.5000 0.7501
Pd: 0.5000 0.0000 0.1239
Pd: 0.5000 0.0000 0.3763
Pd: 0.5000 0.0000 0.6237
Pd: 0.5000 0.0000 0.8761
Pd: 0.0000 0.5000 0.1239
Pd: 0.0000 0.5000 0.3763
Pd: 0.0000 0.5000 0.6237
Pd: 0.0000 0.5000 0.8761

Properties
The calculation puts the energy of formation from the pure elements at -0.3752 eV/atom. The space-group type is P4/mmm.



[3]
Entry from Alexandria: a relaxed structure of MgNi4Sn5 (PBE-GGA).

Unit cell a=4.4353 b=6.3881 c=6.9027 alpha=91.88 beta=108.74 gamma=90.00
Fractional coordinates of all 10 atoms:
Mg: 0.5000 0.0000 0.0000
Ni: 0.6637 0.7543 0.3273
Ni: 0.9930 0.2520 0.9861
Ni: 0.3363 0.2457 0.6727
Ni: 0.0070 0.7480 0.0139
Sn: 0.1640 0.0119 0.3281
Sn: 0.1693 0.4916 0.3386
Sn: 0.8307 0.5084 0.6614
Sn: 0.5000 0.5000 0.0000
Sn: 0.8360 0.9881 0.6719

Properties
The calculation puts the energy of formation from the pure elements at -0.1672 eV/atom. The space-group type is C2/m.



[4]
Entry from Alexandria: a relaxed structure of MgBe2Hg (PBE-GGA).

Unit cell a=8.5459 b=8.5459 c=8.5459 alpha=20.09 beta=20.09 gamma=20.09
Fractional coordinates of all 4 atoms:
Be: 0.9890 0.9890 0.9890
Be: 0.2632 0.2632 0.2632
Mg: 0.7377 0.7377 0.7377
Hg: 0.5101 0.5101 0.5101

Properties
The calculation puts the energy above the most stable polymorph in this dataset at 0.82 eV per formula unit. The calculation puts the energy of formation from the pure elements at 0.4621 eV/atom. The space-group type is R3m.



[5]
Entry from Alexandria: a relaxed structure of FeAgN2 (PBE-GGA).

Unit cell a=3.8844 b=3.8844 c=3.8844 alpha=60.00 beta=60.00 gamma=60.00
Fractional coordinates of all 4 atoms:
Fe: 0.0000 0.0000 0.0000
Ag: 0.5000 0.5000 0.5000
N: 0.2500 0.2500 0.2500
N: 0.7500 0.7500 0.7500

Properties
The calculation puts the energy above the most stable polymorph in this dataset at 4.12 eV per formula unit. The space-group type is Fm-3m. The energy relative to the elements, uncorrected is 1.49 eV/atom.



[6]
Entry from Alexandria: a relaxed structure of Tm3Mn (PBE-GGA).

Unit cell a=3.5964 b=5.2676 c=6.3007 alpha=114.71 beta=106.58 gamma=90.00
Fractional coordinates of all 4 atoms:
Tm: 0.2905 0.7068 0.5810
Tm: 0.5000 0.4167 0.0000
Tm: 0.7095 0.1258 0.4190
Mn: 0.0000 0.9173 0.0000

Properties
The calculation puts the energy of formation from the pure elements at 0.1337 eV/atom. The space-group type is Immm.



[7]
Entry from Alexandria: a relaxed structure of PaTl3Rh2Se6 (PBE-GGA).

Unit cell a=6.3430 b=6.3430 c=8.9944 alpha=96.95 beta=96.95 gamma=120.10
Fractional coordinates of all 12 atoms:
Pa: 0.0000 0.0000 0.0000
Tl: 0.1694 0.8306 0.5000
Tl: 0.8306 0.1694 0.5000
Tl: 0.5000 0.5000 0.5000
Rh: 0.3337 0.6663 0.0000
Rh: 0.6663 0.3337 0.0000
Se: 0.9394 0.5699 0.8221
Se: 0.6931 0.6931 0.1783
Se: 0.0606 0.4301 0.1779
Se: 0.5699 0.9394 0.8221
Se: 0.3069 0.3069 0.8217
Se: 0.4301 0.0606 0.1779

Properties
The space-group type is C2/m. The energy relative to the elements, uncorrected is -0.67 eV/atom.



[8]
Entry from Alexandria: a relaxed structure of Na2Hg5Au4 (PBE-GGA).

Unit cell a=5.8128 b=7.2490 c=7.2320 alpha=77.84 beta=66.30 gamma=66.36
Fractional coordinates of all 11 atoms:
Na: 0.2769 0.7240 0.7223
Na: 0.7231 0.2760 0.2777
Hg: 0.2488 0.1799 0.8199
Hg: 0.7512 0.8201 0.1801
Hg: 0.0000 0.5000 0.5000
Hg: 0.7514 0.1799 0.8199
Hg: 0.2486 0.8201 0.1801
Au: 0.2445 0.0903 0.4207
Au: 0.7555 0.9097 0.5793
Au: 0.7557 0.5769 0.9116
Au: 0.2443 0.4231 0.0884

Properties
The calculation puts the energy of formation from the pure elements at -0.1054 eV/atom. The space-group type is C2/m.



[9]
Entry from Alexandria: a relaxed structure of UTlInI6 (PBE-GGA).

Unit cell a=8.4452 b=8.4452 c=14.4032 alpha=90.00 beta=90.00 gamma=120.00
Fractional coordinates of all 18 atoms:
U: 0.6667 0.3333 0.2500
U: 0.3333 0.6667 0.7500
Tl: 0.0000 0.0000 0.0000
Tl: 0.0000 0.0000 0.5000
In: 0.3333 0.6667 0.2500
In: 0.6667 0.3333 0.7500
I: 0.6596 0.6234 0.1297
I: 0.9638 0.3404 0.1297
I: 0.3404 0.9638 0.6297
I: 0.0362 0.6596 0.8703
I: 0.3766 0.3404 0.3703
I: 0.9638 0.6234 0.3703
I: 0.6234 0.9638 0.8703
I: 0.6596 0.0362 0.3703
I: 0.0362 0.3766 0.6297
I: 0.3766 0.0362 0.1297
I: 0.6234 0.6596 0.6297
I: 0.3404 0.3766 0.8703

Properties
The space-group type is P-31c. The energy relative to the elements, uncorrected is -0.71 eV/atom.



[10]
Entry from Alexandria: a relaxed structure of Li2GaPd6 (PBE-GGA).

Unit cell a=4.3692 b=4.3681 c=7.8840 alpha=90.02 beta=90.00 gamma=120.01
Fractional coordinates of all 9 atoms:
Li: 0.3334 0.6668 0.7299
Li: 0.6666 0.3332 0.2701
Ga: 0.0000 0.0000 0.5000
Pd: 0.6667 0.3334 0.9538
Pd: 0.3333 0.6666 0.0462
Pd: 0.0000 0.9999 0.1828
Pd: 0.3333 0.6666 0.3986
Pd: 0.0000 0.0001 0.8172
Pd: 0.6667 0.3334 0.6014

Properties
The calculation puts the energy above the most stable polymorph in this dataset at 0.00 eV per formula unit. The calculation puts the energy of formation from the pure elements at -0.4239 eV/atom. The space-group type is P-3m1.



[11]
Entry from Alexandria: a relaxed structure of CdTe2BrN (PBE-GGA).

Unit cell a=5.9638 b=5.9638 c=3.6996 alpha=90.00 beta=90.00 gamma=90.00
Fractional coordinates of all 5 atoms:
N: 0.0000 0.0000 0.5000
Te: 0.0000 0.5000 0.0000
Te: 0.5000 0.0000 0.0000
Br: 0.0000 0.0000 0.0000
Cd: 0.5000 0.5000 0.5000

Properties
The calculation puts the energy above the most stable polymorph in this dataset at 0.28 eV per formula unit. The space-group type is P4/mmm. The energy relative to the elements, uncorrected is 1.22 eV/atom.



[12]
Entry from Alexandria: a relaxed structure of AlGaSb (PBE-GGA).

Unit cell a=3.0485 b=3.8473 c=6.1868 alpha=105.61 beta=100.95 gamma=99.43
Fractional coordinates of all 3 atoms:
Sb: 0.6986 0.5041 0.5427
Al: 0.5142 0.8239 0.1810
Ga: 0.8808 0.1967 0.9197

Properties
The calculation puts the energy above the most stable polymorph in this dataset at 0.27 eV per formula unit. The space-group type is P1. The energy relative to the elements, uncorrected is 0.10 eV/atom.



[13]
Entry from Alexandria: a relaxed structure of CeSmSc2Sb4 (PBE-GGA).

Unit cell a=4.3335 b=7.5104 c=7.4550 alpha=109.53 beta=90.00 gamma=90.00
Fractional coordinates of all 8 atoms:
Ce: 0.5000 0.5000 0.0000
Sm: 0.0000 0.0000 0.0000
Sc: 0.5000 0.0000 0.5000
Sc: 0.0000 0.5000 0.5000
Sb: 0.5000 0.2571 0.2703
Sb: 0.5000 0.7429 0.7297
Sb: 0.0000 0.2429 0.7292
Sb: 0.0000 0.7571 0.2708

Properties
The space-group type is P2/m. The energy relative to the elements, uncorrected is -1.02 eV/atom.



[14]
Entry from Alexandria: a relaxed structure of Os2PbC (PBE-GGA).

Unit cell a=5.5887 b=5.5887 c=6.1233 alpha=62.85 beta=62.85 gamma=90.00
Fractional coordinates of all 8 atoms:
Pb: 0.0000 0.0000 0.0000
Pb: 0.7500 0.2500 0.5000
C: 0.5000 0.5000 0.0000
C: 0.2500 0.7500 0.5000
Os: 0.4978 0.1250 0.2500
Os: 0.2522 0.6250 0.2500
Os: 0.3750 0.5022 0.7500
Os: 0.8750 0.7478 0.7500

Properties
The calculation puts the energy above the most stable polymorph in this dataset at 0.00 eV per formula unit. The calculation puts the energy of formation from the pure elements at 1.0725 eV/atom. The space-group type is I-42d.



[15]
Entry from Alexandria: a relaxed structure of CsBaSCl (PBE-GGA).

Unit cell a=4.6610 b=4.6602 c=8.7216 alpha=90.01 beta=105.48 gamma=119.99
Fractional coordinates of all 4 atoms:
Cs: 0.9556 0.3759 0.3473
Ba: 0.3199 0.5579 0.8928
S: 0.1078 0.9519 0.0749
Cl: 0.4946 0.1451 0.6547

Properties
The space-group type is R3m. The energy relative to the elements, uncorrected is -1.92 eV/atom.



[16]
Entry from Alexandria: a relaxed structure of Zn3SiO (PBE-GGA).

Unit cell a=4.1931 b=4.1931 c=4.1931 alpha=90.00 beta=90.00 gamma=90.00
Fractional coordinates of all 5 atoms:
Zn: 0.0000 0.5000 0.0000
Zn: 0.0000 0.0000 0.5000
Zn: 0.5000 0.0000 0.0000
Si: 0.5000 0.5000 0.5000
O: 0.0000 0.0000 0.0000

Properties
The calculation puts the energy above the most stable polymorph in this dataset at 0.00 eV per formula unit. The space-group type is Pm-3m. The energy relative to the elements, uncorrected is -0.01 eV/atom.



[17]
Entry from Alexandria: a relaxed structure of TaBe2Au (PBE-GGA).

Unit cell a=4.7688 b=4.7688 c=4.7688 alpha=134.24 beta=134.24 gamma=66.71
Fractional coordinates of all 4 atoms:
Be: 0.0000 0.0000 0.0000
Be: 0.2500 0.7500 0.5000
Au: 0.7500 0.2500 0.5000
Ta: 0.5000 0.5000 0.0000

Properties
The calculation puts the energy above the most stable polymorph in this dataset at 1.06 eV per formula unit. The calculation puts the energy of formation from the pure elements at 0.1938 eV/atom. The space-group type is I-4m2.



[18]
Entry from Alexandria: a relaxed structure of PrGdHoGa (PBE-GGA).

Unit cell a=5.4054 b=5.4054 c=5.4054 alpha=60.00 beta=60.00 gamma=60.00
Fractional coordinates of all 4 atoms:
Pr: 0.2500 0.2500 0.2500
Gd: 0.7500 0.7500 0.7500
Ho: 0.0000 0.0000 0.0000
Ga: 0.5000 0.5000 0.5000

Properties
The calculation puts the energy of formation from the pure elements at -0.1091 eV/atom. The space-group type is F-43m.



[19]
Entry from Alexandria: a relaxed structure of Er3Ni6Ge2 (PBE-GGA).

Unit cell a=7.6353 b=7.6353 c=7.6353 alpha=109.47 beta=109.47 gamma=109.47
Fractional coordinates of all 22 atoms:
Er: 0.7136 0.0000 0.7136
Er: 0.2864 0.0000 0.2864
Er: 0.0000 0.2864 0.2864
Er: 0.0000 0.7136 0.7136
Er: 0.2864 0.2864 0.0000
Er: 0.7136 0.7136 0.0000
Ni: 0.6643 0.3287 0.6643
Ni: 0.6643 0.0000 0.3357
Ni: 0.3357 0.0000 0.6643
Ni: 0.3357 0.6713 0.3357
Ni: 0.0000 0.6643 0.3357
Ni: 0.6713 0.3357 0.3357
Ni: 0.3287 0.6643 0.6643
Ni: 0.0000 0.3357 0.6643
Ni: 0.3357 0.6643 0.0000
Ni: 0.6643 0.6643 0.3287
Ni: 0.3357 0.3357 0.6713
Ni: 0.6643 0.3357 0.0000
Ge: 0.0000 0.5000 0.0000
Ge: 0.5000 0.0000 0.0000
Ge: 0.0000 0.0000 0.5000
Ge: 0.5000 0.5000 0.5000

Properties
The calculation puts the energy of formation from the pure elements at -0.6034 eV/atom. The space-group type is Im-3m.



[20]
Entry from Alexandria: a relaxed structure of Na2CaLa (PBE-GGA).

Unit cell a=5.9536 b=5.9536 c=5.9536 alpha=60.00 beta=60.00 gamma=60.00
Fractional coordinates of all 4 atoms:
Na: 0.2500 0.2500 0.2500
Na: 0.7500 0.7500 0.7500
Ca: 0.0000 0.0000 0.0000
La: 0.5000 0.5000 0.5000

Properties
The calculation puts the energy above the most stable polymorph in this dataset at 0.12 eV per formula unit. The calculation puts the energy of formation from the pure elements at 0.2445 eV/atom. The space-group type is Fm-3m.